[1]
This record from Alexandria describes a geometry-optimized Nb25S48 structure. The functional is PBE-GGA.

Geometry as POSCAR:
```
Nb25S48
1.0
-10.096 -2.402 -7.069
-0.207 -8.221 9.488
-9.478 2.137 6.411
S Nb
48 25
Cartesian
-15.352 -8.782 6.082
-16.679 -0.457 -0.441
-11.358 -5.951 0.523
-7.623 -1.638 8.025
-9.811 -6.059 -2.474
-16.051 -4.893 3.744
-4.805 -9.005 5.908
-4.611 -1.881 2.093
-10.889 0.284 2.555
-9.559 -7.972 9.102
-13.436 -2.613 5.015
-7.095 -4.820 4.762
-6.903 -5.476 10.442
-10.309 -3.692 4.859
-2.978 -2.739 4.790
-13.556 -1.561 -0.697
-10.581 -9.821 2.868
-7.730 -0.890 2.319
-8.593 -4.606 7.694
-6.432 -7.875 3.127
-7.994 -7.930 6.155
-6.129 -1.832 5.001
-6.184 -0.852 -0.580
-9.619 -6.841 3.340
-12.454 0.285 5.534
-3.676 -6.453 10.174
-5.437 -4.892 1.527
-12.724 -6.851 9.314
-14.558 -5.030 0.731
-15.099 -1.536 2.271
-9.248 -0.776 5.250
-8.885 -3.767 1.764
-8.415 -5.321 13.397
-5.355 -5.587 7.467
-11.176 -6.895 6.328
-2.144 -6.536 7.213
-10.837 -0.667 8.242
-10.384 -2.627 -0.954
-8.784 -2.628 -3.907
-12.852 -5.909 3.522
-11.944 -1.587 -3.671
-11.749 -3.606 7.840
-10.091 -4.484 10.657
-14.355 -5.820 6.527
-8.089 -6.900 0.353
-7.191 -3.747 -1.196
-3.823 -5.729 4.443
-11.966 -2.620 2.045
-7.503 -5.575 2.521
-14.581 -0.468 4.464
-11.733 -7.709 2.236
-10.233 -7.772 -0.718
-6.553 -3.510 6.790
-12.932 -1.507 7.194
-5.048 -3.692 3.744
-14.965 -6.752 2.505
-9.697 -2.504 6.964
-6.926 -9.718 4.819
-10.069 -8.688 5.022
-8.539 -8.697 2.043
-13.290 -7.661 5.245
-8.229 -2.682 3.972
-13.014 -0.440 1.455
-11.353 -1.529 4.191
-8.267 -1.553 -1.718
-3.337 -4.454 6.537
-11.689 -8.680 7.990
-8.041 -3.366 9.781
-6.684 -2.729 1.006
-11.289 -2.406 9.976
-14.806 -7.601 8.187
-9.870 -1.559 1.237
-16.433 -6.643 5.463
```

Output
E_tot = -7.22 eV per atom
space-group type = Cm, No. 8
formation energy (no corrections) = -1055 meV per atom


[2]
This record from Alexandria describes a geometry-optimized Hf3SbOs structure. The functional is PBE-GGA.

Geometry as POSCAR:
```
Hf3SbOs
1.0
-4.836 1.141 -0.702
-1.293 -4.662 1.332
-0.349 1.465 4.787
Hf Os Sb
3 1 1
Cartesian
-0.647 -2.331 0.666
-0.174 0.732 2.393
-2.418 0.571 -0.351
0.000 0.000 0.000
-3.239 -1.028 2.709
```

Output
E_tot = -8.87 eV per atom
relative energy among the computed polymorphs = 0 meV per atom
space-group type = Pm-3m, No. 221
formation energy (no corrections) = 170 meV per atom


[3]
This record from Alexandria describes a geometry-optimized PaPtRh structure. The functional is PBE-GGA.

Geometry as POSCAR:
```
PaPtRh
1.0
-2.810 0.519 3.014
-3.609 -3.272 -2.802
3.159 -4.171 0.802
Pa Pt Rh
2 2 2
Cartesian
-1.335 -1.289 0.408
-1.925 -5.636 0.607
1.580 -2.086 0.401
-0.225 -3.722 -1.000
-0.264 -3.678 1.818
-2.996 -3.247 -0.804
```

Output
E_tot = -8.60 eV per atom
relative energy among the computed polymorphs = 0 meV per atom
space-group type = Cmcm, No. 63
E_form = -0.97 eV/atom